1.
DFT (PBE) results for K4CoIr after structural relaxation.

a = 6.393 Å, b = 6.393 Å, c = 6.393 Å
α = 60.00°, β = 60.00°, γ = 60.00°
Atoms (fractional coordinates):
K: 0.376 0.376 0.376
K: 0.376 0.376 0.873
K: 0.376 0.873 0.376
K: 0.873 0.376 0.376
Co: 0.000 0.000 0.000
Ir: 0.750 0.750 0.750

Summary:
- ΔH_f (0 K) (kJ/mol of atoms) = 130.4
- space-group type = F-43m (216)
- D(E_F) (states/eV per atom) = 0.76
- mass density (g cm⁻³) = 3.7
- uncorrected energy (eV per atom) = -2.0412


2.
DFT (PBE) results for LaDyMnAg after structural relaxation.

a = 7.382 Å, b = 7.382 Å, c = 7.382 Å
α = 90.00°, β = 90.00°, γ = 90.00°
Atoms (fractional coordinates):
La: 0.000 0.000 0.000
La: 0.000 0.500 0.500
La: 0.500 0.000 0.500
La: 0.500 0.500 0.000
Dy: 0.000 0.000 0.500
Dy: 0.000 0.500 0.000
Dy: 0.500 0.000 0.000
Dy: 0.500 0.500 0.500
Mn: 0.250 0.250 0.750
Mn: 0.250 0.750 0.250
Mn: 0.750 0.250 0.250
Mn: 0.750 0.750 0.750
Ag: 0.250 0.250 0.250
Ag: 0.250 0.750 0.750
Ag: 0.750 0.250 0.750
Ag: 0.750 0.750 0.250

Summary:
- ΔH_f (0 K) (kJ/mol of atoms) = 3.3
- space-group type = F-43m (216)
- D(E_F) (states/eV per atom) = 1.03
- mass density (g cm⁻³) = 7.7
- uncorrected energy (eV per atom) = -5.3535


3.
DFT (PBE) results for Ca2NiCl6 after structural relaxation.

a = 6.396 Å, b = 6.986 Å, c = 11.135 Å
α = 90.00°, β = 122.19°, γ = 90.00°
Atoms (fractional coordinates):
Ca: 0.194 0.102 0.241
Ca: 0.194 0.398 0.741
Ca: 0.806 0.602 0.259
Ca: 0.806 0.898 0.759
Ni: 0.500 0.000 0.000
Ni: 0.500 0.500 0.500
Cl: 0.138 0.176 0.943
Cl: 0.138 0.324 0.443
Cl: 0.260 0.699 0.927
Cl: 0.260 0.801 0.427
Cl: 0.407 0.045 0.765
Cl: 0.407 0.455 0.265
Cl: 0.593 0.545 0.735
Cl: 0.593 0.955 0.235
Cl: 0.740 0.199 0.573
Cl: 0.740 0.301 0.073
Cl: 0.862 0.676 0.557
Cl: 0.862 0.824 0.057

Summary:
- formation energy from raw total energies (meV/atom) = -1751
- space-group type = P2_1/c (14)
- excess energy over the best structure of this formula in the dataset (meV per atom) = 0
- mass density (g cm⁻³) = 2.8
- uncorrected energy (eV per atom) = -4.0694


4.
DFT (PBE) results for AlCd3 after structural relaxation.

a = 4.399 Å, b = 4.399 Å, c = 8.844 Å
α = 90.00°, β = 90.00°, γ = 90.00°
Atoms (fractional coordinates):
Al: 0.000 0.000 0.000
Al: 0.500 0.500 0.500
Cd: 0.000 0.000 0.500
Cd: 0.000 0.500 0.250
Cd: 0.000 0.500 0.750
Cd: 0.500 0.000 0.250
Cd: 0.500 0.000 0.750
Cd: 0.500 0.500 0.000

Summary:
- ΔH_f (0 K) (kJ/mol of atoms) = 10.3
- space-group type = I4/mmm (139)
- D(E_F) (states/eV per atom) = 0.45
- mass density (g cm⁻³) = 7.1
- uncorrected energy (eV per atom) = -1.5151


5.
DFT (PBE) results for Nd2Mg3Zn2 after structural relaxation.

a = 10.368 Å, b = 4.614 Å, c = 7.242 Å
α = 90.00°, β = 97.30°, γ = 90.00°
Atoms (fractional coordinates):
Nd: 0.125 0.000 0.353
Nd: 0.375 0.500 0.647
Nd: 0.625 0.500 0.353
Nd: 0.875 0.000 0.647
Mg: 0.000 0.500 0.000
Mg: 0.186 0.000 0.863
Mg: 0.314 0.500 0.137
Mg: 0.500 0.000 0.000
Mg: 0.686 0.500 0.863
Mg: 0.814 0.000 0.137
Zn: 0.082 0.500 0.654
Zn: 0.418 0.000 0.346
Zn: 0.582 0.000 0.654
Zn: 0.918 0.500 0.346

Summary:
- ΔH_f (0 K) (kJ/mol of atoms) = -18.5
- space-group type = C2/m (12)
- D(E_F) (states/eV per atom) = 0.73
- mass density (g cm⁻³) = 4.8
- uncorrected energy (eV per atom) = -2.6011


6.
DFT (PBE) results for CdGaSe2N after structural relaxation.

a = 5.440 Å, b = 5.440 Å, c = 4.231 Å
α = 90.00°, β = 90.00°, γ = 90.00°
Atoms (fractional coordinates):
Cd: 0.000 0.000 0.000
Ga: 0.500 0.500 0.500
Se: 0.000 0.500 0.000
Se: 0.500 0.000 0.000
N: 0.000 0.000 0.500

Summary:
- formation energy from raw total energies (meV/atom) = 955
- space-group type = P4/mmm (123)
- excess energy over the best structure of this formula in the dataset (meV per atom) = 456
- D(E_F) (states/eV per atom) = 1.10
- mass density (g cm⁻³) = 4.7
- uncorrected energy (eV per atom) = -2.8925